1.
The following is a DFT calculation (PBE-GGA) of a relaxed structure of Y4GaTe2As.

abc: 7.401 4.174 7.523
angles: 90.00 108.50 90.00
Space group P2/m (No. 10)
Asymmetric unit:
Y1 0.242 0.000 0.219
Y2 0.258 0.500 0.773
Ga1 0.500 0.000 0.000
Te1 0.000 0.000 0.500
Te2 0.500 0.500 0.500
As1 0.000 0.500 0.000

Properties
ΔE_f (raw) ... -1250.5 meV per atom

---

2.
The following is a DFT calculation (PBE-GGA) of a relaxed structure of ThGaAs.

abc: 4.8283 4.8283 26.2001
angles: 90.00 90.00 120.00
Space group R-3m (No. 166, hexagonal axes)
Asymmetric unit:
Th1 0.0000 0.0000 0.2335
Ga1 0.0000 0.0000 0.3543
As1 0.0000 0.0000 0.1205

Properties
Formation energy ... -1.49 eV per formula unit

---

3.
The following is a DFT calculation (PBE-GGA) of a relaxed structure of ThGaAs2.

abc: 4.680 4.680 3.948
angles: 90.00 90.00 90.00
Space group P4/mmm (No. 123)
Asymmetric unit:
Th1 0.000 0.000 0.000
Ga1 0.500 0.500 0.000
As1 0.000 0.500 0.500

Properties
Formation energy ... -2.88 eV per formula unit

---

4.
The following is a DFT calculation (PBE-GGA) of a relaxed structure of Th6GaAs5.

abc: 7.399 12.794 7.394
angles: 90.00 109.42 90.00
Space group C2/m (No. 12)
Asymmetric unit:
Th1 0.250 0.000 0.249
Th2 0.250 0.167 0.750
Ga1 0.000 0.500 0.000
As1 0.000 0.000 0.500
As2 0.000 0.167 0.000
As3 0.000 0.333 0.500

Properties
Formation energy ... -14.61 eV per formula unit

---

5.
The following is a DFT calculation (PBE-GGA) of a relaxed structure of Th2GaAs.

abc: 3.9992 3.9992 24.3692
angles: 90.00 90.00 120.00
Space group R3m (No. 160, hexagonal axes)
Asymmetric unit:
Th1 0.0000 0.0000 0.0000
Th2 0.0000 0.0000 0.1820
Ga1 0.0000 0.0000 0.4239
As1 0.0000 0.0000 0.5918

Properties
Formation energy ... -2.78 eV per formula unit

---

6.
The following is a DFT calculation (PBE-GGA) of a relaxed structure of Th2GaAs.

abc: 4.2808 4.2808 21.1610
angles: 90.00 90.00 120.00
Space group R-3m (No. 166, hexagonal axes)
Asymmetric unit:
Th1 0.0000 0.0000 0.2504
Ga1 0.0000 0.0000 0.5000
As1 0.0000 0.0000 0.0000

Properties
Formation energy ... -3.33 eV per formula unit

---

7.
The following is a DFT calculation (PBE-GGA) of a relaxed structure of ThGaAs.

abc: 3.649 3.649 10.194
angles: 90.00 90.00 90.00
Space group I4mm (No. 107)
Asymmetric unit:
Th1 0.000 0.000 0.000
Ga1 0.000 0.000 0.303
As1 0.000 0.000 0.683

Properties
Formation energy ... -1.61 eV per formula unit

---

8.
The following is a DFT calculation (PBE-GGA) of a relaxed structure of Ti2GaAs2.

abc: 7.184 7.184 3.345
angles: 90.00 90.00 90.00
Space group P4/mbm (No. 127)
Asymmetric unit:
Ti1 0.144 0.356 0.000
Ga1 0.000 0.000 0.500
As1 0.146 0.646 0.500

Properties
Formation energy ... -2.35 eV per formula unit

---

9.
The following is a DFT calculation (PBE-GGA) of a relaxed structure of Ti7Ga2As2.

abc: 7.236 9.267 5.962
angles: 90.00 90.00 90.00
Space group Cmmm (No. 65)
Asymmetric unit:
Ti1 0.000 0.000 0.000
Ti2 0.000 0.500 0.268
Ti3 0.250 0.250 0.281
Ga1 0.175 0.000 0.500
As1 0.000 0.281 0.000

Properties
Formation energy ... -3.12 eV per formula unit

---

10.
The following is a DFT calculation (PBE-GGA) of a relaxed structure of TiGa2As.

abc: 7.436 7.436 5.283
angles: 90.00 90.00 90.00
Space group I-42d (No. 122)
Asymmetric unit:
Ti1 0.000 0.000 0.000
Ga1 0.236 0.750 0.625
As1 0.000 0.000 0.500

Properties
Formation energy ... -0.21 eV per formula unit